No. 1
An optimized crystal structure of ThN2. Source: OQMD, functional PBE-GGA.

Unit cell a=9.9115 b=9.9115 c=9.9115 alpha=90.00 beta=90.00 gamma=90.00
With the nearest neighbours (Å) after each atom.
Space group Fd-3m (No. 227, origin choice 2)
Unique sites:
Th 0.1250 0.1250 0.1250  4 N 2.15
N 0.0000 0.0000 0.0000  2 Th 2.15

Calculated total energy, eV per atom: -7.87

No. 2
An optimized crystal structure of ZrCoNiSn. Source: OQMD, functional PBE-GGA.

Unit cell a=6.3488 b=6.3488 c=6.3488 alpha=90.00 beta=90.00 gamma=90.00
With the nearest neighbours (Å) after each atom.
Space group F-43m (No. 216)
Unique sites:
Zr 0.0000 0.0000 0.0000  4 Sn 2.75, 4 Ni 2.75
Co 0.0000 0.0000 0.5000  4 Ni 2.75, 4 Sn 2.75
Ni 0.2500 0.2500 0.7500  4 Zr 2.75, 4 Co 2.75
Sn 0.2500 0.2500 0.2500  4 Co 2.75, 4 Zr 2.75

Energy above the most stable polymorph in this dataset, eV/atom: 0.362

No. 3
An optimized crystal structure of ZrZnGaCo. Source: OQMD, functional PBE-GGA.

Unit cell a=6.2181 b=6.2181 c=6.2181 alpha=90.00 beta=90.00 gamma=90.00
With the nearest neighbours (Å) after each atom.
Space group F-43m (No. 216)
Unique sites:
Zr 0.0000 0.0000 0.0000  4 Co 2.69, 4 Zn 2.69
Zn 0.2500 0.2500 0.2500  4 Zr 2.69, 4 Ga 2.69
Ga 0.0000 0.0000 0.5000  4 Zn 2.69, 4 Co 2.69
Co 0.2500 0.2500 0.7500  4 Zr 2.69, 4 Ga 2.69

Energy above the most stable polymorph in this dataset, eV/atom: 0.000